Material: NiTe4Cl
Method: DFT, meta-GGA SCAN
State: single point on PBEsol structure

Results
DFT total energy, eV/cell: -169.79

Structure (extended XYZ):
```
6
Lattice="-2.472 2.418 -5.017 -4.945 -2.544 -2.490 -5.379 2.845 0.321" Properties=species:S:1:pos:R:3 pbc="T T T"
Ni 0.000 0.000 0.000
Te -6.034 2.230 -5.207
Te -7.273 -0.256 -3.940
Te -7.490 2.444 -2.532
Te -4.795 1.019 -2.693
Cl -9.597 2.039 -5.390
```